[1]
Li3As2Au4 | PBE-GGA | relaxed

POSCAR file:
```
Li3As2Au4
1.0
4.5717 0.0000 0.0000
-2.2859 4.5080 -1.9299
0.0000 -1.6527 8.3292
Li As Au
3 2 4
Direct
0.6656 0.3313 0.6655 Li
0.0000 0.0000 0.0000 Li
0.3344 0.6687 0.3345 Li
0.5979 0.1957 0.2723 As
0.4021 0.8043 0.7277 As
0.7088 0.4176 0.0568 Au
0.2912 0.5824 0.9432 Au
0.9462 0.8923 0.6205 Au
0.0538 0.1077 0.3795 Au
```

**Energy relative to the elements**: -0.37 eV per atom

=====

[2]
La2Ni6C | PBE-GGA | relaxed

POSCAR file:
```
La2Ni6C
1.0
4.3942 -0.0218 -0.0126
0.0312 6.1157 0.0098
0.0312 3.0554 5.2978
La Ni C
2 6 1
Direct
0.7749 0.6668 0.6668 La
0.2251 0.3332 0.3332 La
0.2626 0.2790 0.8603 Ni
0.2627 0.8606 0.8606 Ni
0.2626 0.8603 0.2790 Ni
0.7374 0.7210 0.1397 Ni
0.7373 0.1394 0.1394 Ni
0.7374 0.1397 0.7210 Ni
0.0000 0.0000 0.0000 C
```

**Energy relative to the elements**: -0.10 eV per atom

=====

[3]
TmZr2Zn | PBE-GGA | relaxed

POSCAR file:
```
TmZr2Zn
1.0
-2.6153 -1.7529 -0.1961
0.0647 -2.7652 -1.5166
1.8216 -6.5299 8.7035
Zn Tm Zr
1 1 2
Direct
0.5000 0.5000 0.5000 Zn
0.0000 0.0000 0.0000 Tm
0.0971 0.0971 0.7086 Zr
0.9029 0.9029 0.2914 Zr
```

**Energy relative to the elements**: 0.23 eV per atom
**Offset from the most stable computed form**: 364.7 meV/atom

=====

Here are the calculated total moment numbers, same order: 0.000, 0.000, 0.000 (μB per atom).
Here are the calculated density of states at the Fermi level numbers, same order: 2.27, 3.82, 4.56 (states/eV/f.u.).